Entry 1:
Entry from Alexandria via LeMat-Bulk: a relaxed structure of SrYIn2 (PBE-GGA).

Calculated values
* ρ: 5.72 g/cm³
* total DFT energy (no corrections): -3.801 eV/atom
* space group: Cmmm, No. 65
* DFT formation energy: -0.40 eV/atom
* crystal system: orthorhombic
* Fermi-level density of states: 2.39 states/eV per cell

Cell: 5.7872 5.7872 3.5915 Å, 90.00 90.00 101.47°
Atoms (fractional coordinates):
Y  0.0000  0.5000  0.5000
Sr  0.5000  0.0000  0.5000
In  0.0000  0.0000  0.0000
In  0.5000  0.5000  0.0000

***

Entry 2:
Entry from Alexandria via LeMat-Bulk: a relaxed structure of SrYIn2 (PBE-GGA).

Calculated values
* ρ: 5.29 g/cm³
* total DFT energy (no corrections): -3.579 eV/atom
* space group: P4mm, No. 99
* DFT formation energy: -0.17 eV/atom
* crystal system: tetragonal
* Fermi-level density of states: 4.07 states/eV per cell

Cell: 3.7335 3.7335 9.1443 Å, 90.00 90.00 89.99°
Atoms (fractional coordinates):
In  0.0000  0.0000  0.0179
In  0.5000  0.5000  0.2074
Sr  0.0000  0.0000  0.4698
Y  0.5000  0.5000  0.8049

***

Entry 3:
Entry from Alexandria via LeMat-Bulk: a relaxed structure of SrYIn2 (PBE-GGA).

Calculated values
* ρ: 5.67 g/cm³
* total DFT energy (no corrections): -3.816 eV/atom
* space group: Pmm2, No. 25
* DFT formation energy: -0.41 eV/atom
* crystal system: orthorhombic
* Fermi-level density of states: 2.34 states/eV per cell

Cell: 5.5703 3.8316 5.5722 Å, 90.01 90.00 90.00°
Atoms (fractional coordinates):
Y  0.5000  0.6252  0.8746
Sr  0.0000  0.6249  0.3757
In  0.0000  0.1248  0.8755
In  0.5000  0.1251  0.3742